Entry 1:
{"formula": "Pr3YHo2S6", "functional": "GGA-PBE", "state": "optimized geometry", "lattice": [[-3.938, -0.236, 5.624], [-2.328, -2.522, -5.951], [4.642, -5.041, 1.641]], "species": ["Ho", "Ho", "Pr", "Pr", "Pr", "S", "S", "S", "S", "S", "S", "Y"], "fractional_positions": [[0.667, 0.333, 0.000], [0.333, 0.667, 0.000], [0.500, 0.500, 0.500], [0.834, 0.166, 0.500], [0.166, 0.834, 0.500], [0.077, 0.412, 0.230], [0.412, 0.077, 0.230], [0.259, 0.259, 0.771], [0.588, 0.923, 0.770], [0.923, 0.588, 0.770], [0.741, 0.741, 0.229], [0.000, 0.000, 0.000]], "dft_energy_ev_per_atom": -6.572, "magnetic_moment_mub_per_fu": 0.0}

***

Entry 2:
{"formula": "Pr4Y3HoS8", "functional": "GGA-PBE", "state": "optimized geometry", "lattice": [[-4.292, -6.586, -1.104], [4.198, -1.606, -6.740], [3.887, 1.105, 6.832]], "species": ["Y", "Y", "Y", "S", "S", "S", "S", "S", "S", "S", "S", "Ho", "Pr", "Pr", "Pr", "Pr"], "fractional_positions": [[0.000, 0.500, 0.500], [0.500, 0.500, 0.500], [0.500, 0.500, 0.000], [0.744, 0.731, 0.487], [0.255, 0.270, 0.012], [0.256, 0.269, 0.513], [0.757, 0.270, 0.515], [0.757, 0.270, 0.012], [0.243, 0.730, 0.988], [0.243, 0.730, 0.485], [0.745, 0.730, 0.988], [0.000, 0.500, 0.000], [0.500, 0.000, 0.500], [0.000, 0.000, 0.000], [0.000, 0.000, 0.500], [0.500, 0.000, 0.000]], "dft_energy_ev_per_atom": -6.767, "magnetic_moment_mub_per_fu": 0.0}

***

Entry 3:
{"formula": "PrY2HoS4", "functional": "GGA-PBE", "state": "optimized geometry", "lattice": [[-2.493, -0.745, -2.925], [2.621, -6.312, -0.626], [-3.522, -4.303, 4.097]], "species": ["Y", "Y", "Ho", "Pr", "S", "S", "S", "S"], "fractional_positions": [[0.500, 0.000, 0.500], [0.000, 0.000, 0.000], [0.000, 0.500, 0.500], [0.500, 0.500, 0.000], [0.000, 0.760, 0.737], [0.500, 0.753, 0.258], [0.000, 0.240, 0.263], [0.500, 0.247, 0.742]], "dft_energy_ev_per_atom": -6.837, "magnetic_moment_mub_per_fu": 0.0}

***

Entry 4:
{"formula": "Pr2YHo3S6", "functional": "GGA-PBE", "state": "optimized geometry", "lattice": [[-0.922, 3.716, -0.908], [-2.499, 1.215, 7.510], [8.856, 0.272, 0.642]], "species": ["S", "S", "S", "S", "S", "S", "Ho", "Ho", "Ho", "Pr", "Pr", "Y"], "fractional_positions": [[0.005, 0.750, 0.010], [0.995, 0.250, 0.990], [0.334, 0.931, 0.667], [0.666, 0.069, 0.333], [0.662, 0.595, 0.323], [0.338, 0.405, 0.677], [0.831, 0.167, 0.662], [0.169, 0.833, 0.338], [0.500, 0.500, 0.000], [0.168, 0.335, 0.335], [0.832, 0.665, 0.665], [0.500, 0.000, 0.000]], "dft_energy_ev_per_atom": -6.537, "magnetic_moment_mub_per_fu": 0.0}

***

Entry 5:
{"formula": "PrY3Ho4S8", "functional": "GGA-PBE", "state": "optimized geometry", "lattice": [[-0.581, -6.725, -4.002], [2.029, -4.013, 6.450], [-6.072, 4.968, 0.227]], "species": ["S", "S", "S", "S", "S", "S", "S", "S", "Y", "Y", "Y", "Pr", "Ho", "Ho", "Ho", "Ho"], "fractional_positions": [[0.746, 0.759, 0.002], [0.743, 0.241, 0.998], [0.743, 0.241, 0.486], [0.257, 0.759, 0.514], [0.254, 0.241, 0.998], [0.257, 0.759, 0.002], [0.249, 0.246, 0.498], [0.751, 0.754, 0.502], [0.000, 0.500, 0.500], [0.500, 0.500, 0.000], [0.500, 0.500, 0.500], [0.000, 0.500, 0.000], [0.000, 0.000, 0.000], [0.500, 0.000, 0.000], [0.000, 0.000, 0.500], [0.500, 0.000, 0.500]], "dft_energy_ev_per_atom": -6.699, "magnetic_moment_mub_per_fu": 0.0}

***

Entry 6:
{"formula": "Pr2HoZnS5", "functional": "GGA-PBE", "state": "optimized geometry", "lattice": [[3.888, 0.000, 0.000], [-1.944, 8.516, 0.000], [0.000, 0.000, 12.023]], "species": ["Pr", "Pr", "Pr", "Pr", "S", "S", "S", "S", "S", "S", "S", "S", "S", "S", "Ho", "Ho", "Zn", "Zn"], "fractional_positions": [[0.115, 0.230, 0.684], [0.132, 0.263, 0.319], [0.868, 0.737, 0.819], [0.885, 0.770, 0.184], [0.316, 0.632, 0.357], [0.645, 0.289, 0.505], [0.684, 0.368, 0.857], [0.040, 0.081, 0.050], [0.355, 0.711, 0.005], [0.960, 0.919, 0.550], [0.291, 0.582, 0.674], [0.494, 0.988, 0.772], [0.506, 0.012, 0.272], [0.709, 0.418, 0.174], [0.198, 0.396, 0.016], [0.802, 0.604, 0.516], [0.454, 0.907, 0.446], [0.546, 0.093, 0.946]], "dft_energy_ev_per_atom": -5.763, "magnetic_moment_mub_per_fu": 0.0}

***

Entry 7:
{"formula": "PrHoSb2", "functional": "GGA-PBE", "state": "optimized geometry", "lattice": [[4.468, -0.002, -0.005], [-2.234, 3.870, 0.005], [-2.230, -1.291, 7.279]], "species": ["Ho", "Sb", "Sb", "Pr"], "fractional_positions": [[0.000, 0.000, 0.000], [0.492, 0.746, 0.238], [0.508, 0.254, 0.762], [0.000, 0.500, 0.500]], "e_above_lowest_polymorph_mev_per_atom": 0.0, "magnetic_moment_mub_per_fu": 0.0}

***

Entry 8:
{"formula": "PrHo3Sb4", "functional": "GGA-PBE", "state": "optimized geometry", "lattice": [[-0.140, 3.106, 3.143], [0.316, -5.429, 5.380], [7.097, 2.183, -1.842]], "species": ["Ho", "Ho", "Ho", "Sb", "Sb", "Sb", "Sb", "Pr"], "fractional_positions": [[0.500, 0.500, 0.500], [0.000, 0.500, 0.000], [0.000, 0.000, 0.500], [0.500, 0.254, 0.746], [0.000, 0.742, 0.742], [0.000, 0.258, 0.258], [0.500, 0.746, 0.254], [0.500, 0.000, 0.000]], "e_above_lowest_polymorph_mev_per_atom": 0.0, "magnetic_moment_mub_per_fu": 0.0}

***

Entry 9:
{"formula": "PrHo2Sb", "functional": "GGA-PBE", "state": "optimized geometry", "lattice": [[-3.060, -4.149, -1.654], [1.245, -2.631, -4.565], [1.936, -5.051, 0.228]], "species": ["Pr", "Ho", "Ho", "Sb"], "fractional_positions": [[0.000, 0.000, 0.000], [0.250, 0.250, 0.250], [0.750, 0.750, 0.750], [0.500, 0.500, 0.500]], "e_above_lowest_polymorph_mev_per_atom": 320.3, "magnetic_moment_mub_per_fu": 0.0}

***

Entry 10:
{"formula": "Pr3HoSb2", "functional": "GGA-PBE", "state": "optimized geometry", "lattice": [[-4.739, -4.489, -3.202], [5.186, -6.063, 0.825], [-3.115, 3.688, 7.696]], "species": ["Pr", "Pr", "Pr", "Pr", "Pr", "Pr", "Sb", "Sb", "Sb", "Sb", "Ho", "Ho"], "fractional_positions": [[0.790, 0.540, 0.580], [0.500, 0.750, 0.000], [0.210, 0.960, 0.420], [0.790, 0.040, 0.580], [0.500, 0.250, 0.000], [0.210, 0.460, 0.420], [0.460, 0.644, 0.288], [0.827, 0.144, 0.288], [0.173, 0.856, 0.712], [0.540, 0.356, 0.712], [0.000, 0.500, 0.000], [0.000, 0.000, 0.000]], "e_above_lowest_polymorph_mev_per_atom": 206.5, "magnetic_moment_mub_per_fu": 0.0}

***

Entry 11:
{"formula": "Pr8HoSb6", "functional": "GGA-PBE", "state": "optimized geometry", "lattice": [[8.247, 0.000, 0.000], [4.123, 7.142, 0.000], [4.123, 2.381, 8.677]], "species": ["Pr", "Pr", "Pr", "Pr", "Pr", "Pr", "Pr", "Pr", "Sb", "Sb", "Sb", "Sb", "Sb", "Sb", "Ho"], "fractional_positions": [[0.667, 0.667, 0.000], [0.218, 0.880, 0.363], [0.880, 0.538, 0.363], [0.333, 0.333, 0.000], [0.538, 0.218, 0.363], [0.462, 0.782, 0.637], [0.120, 0.462, 0.637], [0.782, 0.120, 0.637], [0.260, 0.610, 0.197], [0.933, 0.260, 0.197], [0.390, 0.067, 0.803], [0.067, 0.740, 0.803], [0.610, 0.933, 0.197], [0.740, 0.390, 0.803], [0.000, 0.000, 0.000]], "dft_energy_ev_per_atom": -5.316, "magnetic_moment_mub_per_fu": 0.0}

***

Entry 12:
{"formula": "Pr3HoSb3", "functional": "GGA-PBE", "state": "optimized geometry", "lattice": [[-3.664, -7.421, -4.076], [1.348, -8.382, 3.610], [-6.025, -4.602, 3.354]], "species": ["Sb", "Sb", "Sb", "Sb", "Sb", "Sb", "Pr", "Pr", "Pr", "Pr", "Pr", "Pr", "Ho", "Ho"], "fractional_positions": [[0.692, 0.469, 0.767], [0.308, 0.531, 0.233], [0.469, 0.072, 0.767], [0.072, 0.692, 0.767], [0.531, 0.928, 0.233], [0.928, 0.308, 0.233], [0.906, 0.652, 0.263], [0.822, 0.094, 0.737], [0.652, 0.178, 0.263], [0.348, 0.822, 0.737], [0.178, 0.906, 0.263], [0.094, 0.348, 0.737], [0.333, 0.333, 0.002], [0.667, 0.667, 0.998]], "e_above_lowest_polymorph_mev_per_atom": 94.7, "magnetic_moment_mub_per_fu": 0.0}

***

Entry 13:
{"formula": "PrHoSb2", "functional": "GGA-PBE", "state": "optimized geometry", "lattice": [[4.449, 0.000, 0.000], [-2.224, 3.853, 0.000], [0.000, 0.000, 14.684]], "species": ["Sb", "Sb", "Sb", "Sb", "Ho", "Ho", "Pr", "Pr"], "fractional_positions": [[0.333, 0.667, 0.117], [0.667, 0.333, 0.617], [0.333, 0.667, 0.383], [0.667, 0.333, 0.883], [0.000, 0.000, 0.500], [0.000, 0.000, 0.000], [0.667, 0.333, 0.250], [0.333, 0.667, 0.750]], "e_above_lowest_polymorph_mev_per_atom": 49.0, "magnetic_moment_mub_per_fu": 0.0}

***

Entry 14:
{"formula": "PrHoSb2", "functional": "GGA-PBE", "state": "optimized geometry", "lattice": [[-3.393, -2.842, -0.257], [0.115, -3.331, -2.924], [2.222, -6.481, 4.109]], "species": ["Sb", "Sb", "Ho", "Pr"], "fractional_positions": [[0.247, 0.247, 0.258], [0.086, 0.086, 0.743], [0.498, 0.498, 0.506], [0.669, 0.669, 0.993]], "e_above_lowest_polymorph_mev_per_atom": 127.1, "magnetic_moment_mub_per_fu": 0.0}

***

Entry 15:
{"formula": "Pr2HoSb4", "functional": "GGA-PBE", "state": "optimized geometry", "lattice": [[4.361, 0.000, 0.000], [0.000, 4.361, 0.000], [0.000, 0.000, 11.824]], "species": ["Pr", "Pr", "Sb", "Sb", "Sb", "Sb", "Ho"], "fractional_positions": [[0.000, 0.500, 0.289], [0.500, 0.000, 0.711], [0.000, 0.500, 0.823], [0.500, 0.500, 0.500], [0.000, 0.000, 0.500], [0.500, 0.000, 0.177], [0.500, 0.500, 0.000]], "dft_energy_ev_per_atom": -5.238, "magnetic_moment_mub_per_fu": 0.0}

***

Entry 16:
{"formula": "PrHo3Sb4", "functional": "GGA-PBE", "state": "optimized geometry", "lattice": [[-2.277, -1.638, -5.580], [1.234, -5.992, 1.255], [-5.683, -0.645, 2.509]], "species": ["Sb", "Sb", "Sb", "Sb", "Ho", "Ho", "Ho", "Pr"], "fractional_positions": [[0.000, 0.000, 0.500], [0.500, 0.000, 0.000], [0.500, 0.500, 0.500], [0.000, 0.500, 0.000], [0.000, 0.500, 0.500], [0.500, 0.500, 0.000], [0.500, 0.000, 0.500], [0.000, 0.000, 0.000]], "e_above_lowest_polymorph_mev_per_atom": 4.6, "magnetic_moment_mub_per_fu": 0.0}

***

Entry 17:
{"formula": "Pr5HoSb4", "functional": "GGA-PBE", "state": "optimized geometry", "lattice": [[4.421, 0.000, 0.000], [0.000, 8.711, -0.579], [-2.210, -1.857, 9.459]], "species": ["Sb", "Sb", "Sb", "Sb", "Pr", "Pr", "Pr", "Pr", "Pr", "Ho"], "fractional_positions": [[0.334, 0.913, 0.668], [0.666, 0.087, 0.332], [0.995, 0.754, 0.991], [0.005, 0.246, 0.009], [0.173, 0.347, 0.345], [0.500, 0.500, 0.000], [0.827, 0.653, 0.655], [0.835, 0.172, 0.669], [0.165, 0.828, 0.331], [0.500, 0.000, 0.000]], "dft_energy_ev_per_atom": -5.287, "magnetic_moment_mub_per_fu": 0.0}

***

Entry 18:
{"formula": "PrHo2Sb3", "functional": "GGA-PBE", "state": "optimized geometry", "lattice": [[4.243, 0.000, -1.284], [-0.778, 5.675, -2.569], [0.007, 0.004, 7.675]], "species": ["Ho", "Ho", "Pr", "Sb", "Sb", "Sb"], "fractional_positions": [[0.835, 0.835, 0.170], [0.165, 0.165, 0.830], [0.500, 0.500, 0.500], [0.173, 0.673, 0.847], [0.500, 0.000, 0.500], [0.827, 0.327, 0.153]], "dft_energy_ev_per_atom": -5.512, "magnetic_moment_mub_per_fu": 0.0}

***

Entry 19:
{"formula": "PrHo2Sb", "functional": "GGA-PBE", "state": "optimized geometry", "lattice": [[-0.374, -0.026, -4.768], [-4.840, -0.298, 0.382], [-0.299, 4.855, -0.003]], "species": ["Pr", "Sb", "Ho", "Ho"], "fractional_positions": [[0.500, 0.500, 0.500], [0.500, 0.000, 0.000], [0.000, 0.000, 0.500], [0.000, 0.500, 0.000]], "e_above_lowest_polymorph_mev_per_atom": 73.1, "magnetic_moment_mub_per_fu": 0.0}

***

Entry 20:
{"formula": "Pr5HoSb6", "functional": "GGA-PBE", "state": "optimized geometry", "lattice": [[7.841, 0.216, 0.000], [2.415, 7.460, 0.000], [1.207, 3.730, 6.793]], "species": ["Sb", "Sb", "Sb", "Sb", "Sb", "Sb", "Pr", "Pr", "Pr", "Pr", "Pr", "Ho"], "fractional_positions": [[0.245, 0.591, 0.327], [0.755, 0.081, 0.327], [0.752, 0.756, 0.000], [0.755, 0.409, 0.673], [0.248, 0.244, 0.000], [0.245, 0.919, 0.673], [0.500, 0.169, 0.662], [0.500, 0.500, 0.000], [0.500, 0.831, 0.338], [0.000, 0.334, 0.332], [0.000, 0.666, 0.668], [0.000, 0.000, 0.000]], "dft_energy_ev_per_atom": -5.607, "magnetic_moment_mub_per_fu": 0.0}

***

Entry 21:
{"formula": "Pr2HoSb", "functional": "GGA-PBE", "state": "optimized geometry", "lattice": [[-3.592, -3.345, -0.658], [-0.378, -0.546, 4.839], [-3.341, 3.560, 0.140]], "species": ["Pr", "Pr", "Sb", "Ho"], "fractional_positions": [[0.000, 0.500, 0.000], [0.000, 0.000, 0.500], [0.500, 0.000, 0.000], [0.500, 0.500, 0.500]], "dft_energy_ev_per_atom": -5.081, "magnetic_moment_mub_per_fu": 0.0}

***

Entry 22:
{"formula": "PrHo2Sb", "functional": "GGA-PBE", "state": "optimized geometry", "lattice": [[-1.332, 3.552, 1.195], [-0.963, -1.550, 3.534], [6.801, 1.680, 2.590]], "species": ["Pr", "Sb", "Ho", "Ho"], "fractional_positions": [[0.500, 0.500, 0.000], [0.500, 0.500, 0.500], [0.000, 0.000, 0.284], [0.000, 0.000, 0.716]], "e_above_lowest_polymorph_mev_per_atom": 91.4, "magnetic_moment_mub_per_fu": 0.0}

***

Entry 23:
{"formula": "Pr2Ho5Sb4", "functional": "GGA-PBE", "state": "optimized geometry", "lattice": [[-0.458, 2.635, -3.662], [-4.441, -0.198, 0.413], [6.547, 11.891, 10.545]], "species": ["Sb", "Sb", "Sb", "Sb", "Ho", "Ho", "Ho", "Ho", "Ho", "Pr", "Pr"], "fractional_positions": [[0.692, 0.592, 0.384], [0.045, 0.706, 0.090], [0.955, 0.294, 0.910], [0.308, 0.408, 0.616], [0.789, 0.856, 0.579], [0.500, 0.000, 0.000], [0.211, 0.144, 0.421], [0.884, 0.606, 0.768], [0.116, 0.394, 0.232], [0.614, 0.879, 0.228], [0.386, 0.121, 0.772]], "dft_energy_ev_per_atom": -5.092, "magnetic_moment_mub_per_fu": 0.0}